Entry 1:
A relaxed structure of TcNi, computed with PBE.

Cell lengths 6.454, 6.454, 6.454 Å; angles 90.00, 90.00, 90.00 degrees
Positions (direct):
Tc (0.000, 0.250, 0.500)
Tc (0.000, 0.750, 0.500)
Tc (0.250, 0.500, 0.000)
Tc (0.500, 0.000, 0.250)
Tc (0.500, 0.000, 0.750)
Tc (0.750, 0.500, 0.000)
Ni (0.000, 0.500, 0.250)
Ni (0.000, 0.500, 0.750)
Ni (0.250, 0.000, 0.500)
Ni (0.500, 0.250, 0.000)
Ni (0.500, 0.750, 0.000)
Ni (0.750, 0.000, 0.500)

Calculated values
Formation energy   1.66 eV per atom
Density of states at the Fermi level   19.05 states/eV/cell
V   268.8 Å³ per cell


Entry 2:
A relaxed structure of TcNi, computed with PBE.

Cell lengths 4.606, 4.204, 5.240 Å; angles 90.00, 90.00, 90.00 degrees
Positions (direct):
Tc (0.086, 0.250, 0.125)
Tc (0.414, 0.750, 0.625)
Tc (0.586, 0.250, 0.375)
Tc (0.914, 0.750, 0.875)
Ni (0.076, 0.250, 0.620)
Ni (0.424, 0.750, 0.120)
Ni (0.576, 0.250, 0.880)
Ni (0.924, 0.750, 0.380)

Calculated values
Formation energy   -0.04 eV per atom
Density of states at the Fermi level   10.73 states/eV/cell
V   101.5 Å³ per cell


Entry 3:
A relaxed structure of TcNi, computed with PBE.

Cell lengths 8.416, 8.416, 2.657 Å; angles 90.00, 90.00, 120.00 degrees
Positions (direct):
Tc (0.154, 0.308, 0.250)
Tc (0.154, 0.846, 0.250)
Tc (0.308, 0.154, 0.750)
Tc (0.692, 0.846, 0.250)
Tc (0.846, 0.154, 0.750)
Tc (0.846, 0.692, 0.750)
Ni (0.141, 0.571, 0.750)
Ni (0.429, 0.571, 0.750)
Ni (0.429, 0.859, 0.750)
Ni (0.571, 0.141, 0.250)
Ni (0.571, 0.429, 0.250)
Ni (0.859, 0.429, 0.250)

Calculated values
Formation energy   0.32 eV per atom
Density of states at the Fermi level   21.79 states/eV/cell
V   163.0 Å³ per cell


Entry 4:
A relaxed structure of TcNi, computed with PBE.

Cell lengths 2.652, 12.812, 4.551 Å; angles 90.00, 90.00, 90.00 degrees
Positions (direct):
Tc (0.250, 0.085, 0.074)
Tc (0.250, 0.415, 0.074)
Tc (0.250, 0.750, 0.743)
Tc (0.750, 0.250, 0.257)
Tc (0.750, 0.585, 0.926)
Tc (0.750, 0.915, 0.926)
Ni (0.250, 0.250, 0.744)
Ni (0.250, 0.582, 0.419)
Ni (0.250, 0.918, 0.419)
Ni (0.750, 0.082, 0.581)
Ni (0.750, 0.418, 0.581)
Ni (0.750, 0.750, 0.256)

Calculated values
Formation energy   0.10 eV per atom
Density of states at the Fermi level   14.70 states/eV/cell
V   154.7 Å³ per cell


Entry 5:
A relaxed structure of Tc3Ni2, computed with PBE.

Cell lengths 4.041, 4.041, 5.071 Å; angles 90.00, 90.00, 120.00 degrees
Positions (direct):
Tc (0.000, 0.000, 0.000)
Tc (0.333, 0.667, 0.393)
Tc (0.667, 0.333, 0.607)
Ni (0.333, 0.667, 0.884)
Ni (0.667, 0.333, 0.116)

Calculated values
Formation energy   0.50 eV per atom
Density of states at the Fermi level   6.93 states/eV/cell
V   71.7 Å³ per cell


Entry 6:
A relaxed structure of TcNi3, computed with PBE.

Cell lengths 4.506, 4.506, 4.506 Å; angles 90.00, 90.00, 90.00 degrees
Positions (direct):
Tc (0.000, 0.000, 0.000)
Ni (0.000, 0.000, 0.500)
Ni (0.000, 0.500, 0.000)
Ni (0.500, 0.000, 0.000)

Calculated values
Formation energy   1.85 eV per atom
Density of states at the Fermi level   5.88 states/eV/cell
V   91.5 Å³ per cell


Entry 7:
A relaxed structure of Tc3Ni, computed with PBE.

Cell lengths 5.378, 5.378, 8.691 Å; angles 90.00, 90.00, 120.00 degrees
Positions (direct):
Tc (0.000, 0.500, 0.000)
Tc (0.000, 0.500, 0.500)
Tc (0.166, 0.333, 0.250)
Tc (0.166, 0.834, 0.250)
Tc (0.333, 0.166, 0.750)
Tc (0.500, 0.000, 0.000)
Tc (0.500, 0.000, 0.500)
Tc (0.500, 0.500, 0.000)
Tc (0.500, 0.500, 0.500)
Tc (0.667, 0.834, 0.250)
Tc (0.834, 0.166, 0.750)
Tc (0.834, 0.667, 0.750)
Ni (0.000, 0.000, 0.000)
Ni (0.000, 0.000, 0.500)
Ni (0.333, 0.667, 0.750)
Ni (0.667, 0.333, 0.250)

Calculated values
Formation energy   -0.04 eV per atom
Density of states at the Fermi level   9.26 states/eV/cell
V   217.7 Å³ per cell


Entry 8:
A relaxed structure of Tc6Ni7, computed with PBE.

Cell lengths 8.911, 8.911, 8.911 Å; angles 30.49, 30.49, 30.49 degrees
Positions (direct):
Tc (0.047, 0.047, 0.047)
Tc (0.151, 0.151, 0.151)
Tc (0.333, 0.333, 0.333)
Tc (0.667, 0.667, 0.667)
Tc (0.849, 0.849, 0.849)
Tc (0.953, 0.953, 0.953)
Ni (0.087, 0.591, 0.591)
Ni (0.409, 0.409, 0.913)
Ni (0.409, 0.913, 0.409)
Ni (0.500, 0.500, 0.500)
Ni (0.591, 0.087, 0.591)
Ni (0.591, 0.591, 0.087)
Ni (0.913, 0.409, 0.409)

Calculated values
Formation energy   0.03 eV per atom
Density of states at the Fermi level   20.71 states/eV/cell
V   161.5 Å³ per cell


Entry 9:
A relaxed structure of Tc4Ni5, computed with PBE.

Cell lengths 5.847, 5.847, 5.847 Å; angles 95.68, 95.68, 143.32 degrees
Positions (direct):
Tc (0.000, 0.331, 0.331)
Tc (0.000, 0.669, 0.669)
Tc (0.331, 0.000, 0.331)
Tc (0.669, 0.000, 0.669)
Ni (0.000, 0.000, 0.000)
Ni (0.335, 0.335, 0.670)
Ni (0.335, 0.665, 0.000)
Ni (0.665, 0.335, 0.000)
Ni (0.665, 0.665, 0.330)

Calculated values
Formation energy   0.05 eV per atom
Density of states at the Fermi level   9.86 states/eV/cell
V   113.3 Å³ per cell


Entry 10:
A relaxed structure of Tc3Ni, computed with PBE.

Cell lengths 4.657, 4.657, 2.704 Å; angles 90.00, 90.00, 109.97 degrees
Positions (direct):
Tc (0.000, 0.000, 0.000)
Tc (0.000, 0.500, 0.500)
Tc (0.500, 0.000, 0.500)
Ni (0.500, 0.500, 0.000)

Calculated values
Formation energy   0.09 eV per atom
Density of states at the Fermi level   5.47 states/eV/cell
V   55.1 Å³ per cell


Entry 11:
A relaxed structure of Tc3Ni, computed with PBE.

Cell lengths 4.444, 4.444, 4.444 Å; angles 90.00, 90.00, 90.00 degrees
Positions (direct):
Tc (0.000, 0.000, 0.500)
Tc (0.000, 0.500, 0.000)
Tc (0.500, 0.000, 0.000)
Ni (0.000, 0.000, 0.000)

Calculated values
Formation energy   2.48 eV per atom
Density of states at the Fermi level   7.44 states/eV/cell
V   87.8 Å³ per cell


Entry 12:
A relaxed structure of TcNi3, computed with PBE.

Cell lengths 4.413, 8.348, 5.139 Å; angles 90.00, 90.00, 90.00 degrees
Positions (direct):
Tc (0.078, 0.250, 0.123)
Tc (0.422, 0.750, 0.623)
Tc (0.578, 0.250, 0.377)
Tc (0.922, 0.750, 0.877)
Ni (0.085, 0.250, 0.636)
Ni (0.250, 0.000, 0.380)
Ni (0.250, 0.000, 0.880)
Ni (0.250, 0.500, 0.380)
Ni (0.250, 0.500, 0.880)
Ni (0.415, 0.750, 0.136)
Ni (0.585, 0.250, 0.864)
Ni (0.750, 0.000, 0.120)
Ni (0.750, 0.000, 0.620)
Ni (0.750, 0.500, 0.120)
Ni (0.750, 0.500, 0.620)
Ni (0.915, 0.750, 0.364)

Calculated values
Formation energy   0.06 eV per atom
Density of states at the Fermi level   28.10 states/eV/cell
V   189.4 Å³ per cell


Entry 13:
A relaxed structure of Tc5Ni, computed with PBE.

Cell lengths 2.704, 2.704, 11.521 Å; angles 90.00, 90.00, 90.00 degrees
Positions (direct):
Tc (0.000, 0.000, 0.000)
Tc (0.000, 0.000, 0.342)
Tc (0.000, 0.000, 0.658)
Tc (0.500, 0.500, 0.171)
Tc (0.500, 0.500, 0.829)
Ni (0.500, 0.500, 0.500)

Calculated values
Formation energy   0.07 eV per atom
Density of states at the Fermi level   5.69 states/eV/cell
V   84.2 Å³ per cell


Entry 14:
A relaxed structure of TcNi5, computed with PBE.

Cell lengths 2.547, 2.547, 10.649 Å; angles 90.00, 90.00, 90.00 degrees
Positions (direct):
Tc (0.000, 0.000, 0.000)
Ni (0.000, 0.000, 0.341)
Ni (0.000, 0.000, 0.659)
Ni (0.500, 0.500, 0.176)
Ni (0.500, 0.500, 0.500)
Ni (0.500, 0.500, 0.824)

Calculated values
Formation energy   0.02 eV per atom
Density of states at the Fermi level   9.62 states/eV/cell
V   69.1 Å³ per cell


Entry 15:
A relaxed structure of Tc5Ni, computed with PBE.

Cell lengths 4.316, 7.213, 7.213 Å; angles 22.00, 90.00, 90.00 degrees
Positions (direct):
Tc (0.000, 0.000, 0.000)
Tc (0.000, 0.327, 0.327)
Tc (0.500, 0.109, 0.109)
Tc (0.500, 0.439, 0.439)
Tc (0.500, 0.771, 0.771)
Ni (0.000, 0.660, 0.660)

Calculated values
Formation energy   0.00 eV per atom
Density of states at the Fermi level   6.96 states/eV/cell
V   84.1 Å³ per cell


Entry 16:
A relaxed structure of Tc3Ni, computed with PBE.

Cell lengths 8.892, 8.892, 8.892 Å; angles 17.49, 17.49, 17.49 degrees
Positions (direct):
Tc (0.000, 0.000, 0.000)
Tc (0.248, 0.248, 0.248)
Tc (0.752, 0.752, 0.752)
Ni (0.500, 0.500, 0.500)

Calculated values
Formation energy   0.10 eV per atom
Density of states at the Fermi level   4.63 states/eV/cell
V   55.4 Å³ per cell


Entry 17:
A relaxed structure of TcNi3, computed with PBE.

Cell lengths 4.454, 4.454, 2.548 Å; angles 90.00, 90.00, 110.46 degrees
Positions (direct):
Tc (0.000, 0.000, 0.000)
Ni (0.000, 0.500, 0.500)
Ni (0.500, 0.000, 0.500)
Ni (0.500, 0.500, 0.000)

Calculated values
Formation energy   0.08 eV per atom
Density of states at the Fermi level   7.00 states/eV/cell
V   47.4 Å³ per cell


Entry 18:
A relaxed structure of TcNi3, computed with PBE.

Cell lengths 4.782, 4.782, 4.782 Å; angles 117.05, 117.05, 117.05 degrees
Positions (direct):
Tc (0.000, 0.000, 0.000)
Ni (0.000, 0.500, 0.500)
Ni (0.500, 0.000, 0.500)
Ni (0.500, 0.500, 0.000)

Calculated values
Formation energy   0.18 eV per atom
Density of states at the Fermi level   6.58 states/eV/cell
V   47.9 Å³ per cell


Entry 19:
A relaxed structure of TcNiTe3, computed with PBE.

Cell lengths 5.160, 5.160, 5.160 Å; angles 90.00, 90.00, 90.00 degrees
Positions (direct):
Tc (0.000, 0.000, 0.000)
Ni (0.500, 0.500, 0.500)
Te (0.000, 0.000, 0.500)
Te (0.000, 0.500, 0.000)
Te (0.500, 0.000, 0.000)

Calculated values
Raw formation energy   4.88 eV/f.u.
Density of states at the Fermi level   5.77 states/eV/cell
V   137.4 Å³ per cell


Entry 20:
A relaxed structure of TcNiTe, computed with PBE.

Cell lengths 4.201, 4.201, 3.091 Å; angles 90.00, 90.00, 120.00 degrees
Positions (direct):
Tc (0.000, 0.000, 0.000)
Ni (0.667, 0.333, 0.500)
Te (0.333, 0.667, 0.493)

Calculated values
Raw formation energy   1.25 eV/f.u.
Density of states at the Fermi level   1.98 states/eV/cell
V   47.2 Å³ per cell


Entry 21:
A relaxed structure of TcNiTe3, computed with PBE.

Cell lengths 5.000, 5.000, 5.000 Å; angles 90.00, 90.00, 90.00 degrees
Positions (direct):
Tc (0.000, 0.000, 0.000)
Ni (0.500, 0.500, 0.500)
Te (0.000, 0.500, 0.500)
Te (0.500, 0.000, 0.500)
Te (0.500, 0.500, 0.000)

Calculated values
Raw formation energy   4.48 eV/f.u.
Density of states at the Fermi level   4.51 states/eV/cell
V   125.0 Å³ per cell


Entry 22:
A relaxed structure of TcNiTe, computed with PBE.

Cell lengths 4.921, 4.921, 4.921 Å; angles 140.84, 140.84, 56.59 degrees
Positions (direct):
Tc (0.000, 0.000, 0.000)
Ni (0.331, 0.331, 0.000)
Te (0.670, 0.670, 0.000)

Calculated values
Raw formation energy   0.97 eV/f.u.
Density of states at the Fermi level   3.62 states/eV/cell
V   47.1 Å³ per cell


Entry 23:
A relaxed structure of TcNiTe4, computed with PBE.

Cell lengths 6.193, 6.193, 6.193 Å; angles 60.00, 60.00, 60.00 degrees
Positions (direct):
Tc (0.000, 0.000, 0.000)
Ni (0.250, 0.250, 0.250)
Te (0.126, 0.625, 0.625)
Te (0.625, 0.126, 0.625)
Te (0.625, 0.625, 0.126)
Te (0.625, 0.625, 0.625)

Calculated values
Raw formation energy   8.23 eV/f.u.
Density of states at the Fermi level   11.46 states/eV/cell
V   167.9 Å³ per cell


Entry 24:
A relaxed structure of TcNiTe6, computed with PBE.

Cell lengths 6.534, 6.548, 6.563 Å; angles 60.73, 88.92, 60.33 degrees
Positions (direct):
Tc (0.000, 0.000, 0.000)
Ni (0.500, 0.000, 0.500)
Te (0.228, 0.500, 0.425)
Te (0.232, 0.824, 0.726)
Te (0.285, 0.152, 0.072)
Te (0.715, 0.848, 0.928)
Te (0.768, 0.176, 0.274)
Te (0.772, 0.500, 0.575)

Calculated values
Raw formation energy   -0.52 eV/f.u.
Density of states at the Fermi level   4.72 states/eV/cell
V   203.4 Å³ per cell


Entry 25:
A relaxed structure of TcNiTe4, computed with PBE.

Cell lengths 8.637, 8.637, 5.853 Å; angles 108.71, 108.71, 121.15 degrees
Positions (direct):
Tc (0.050, 0.950, 0.750)
Tc (0.950, 0.050, 0.250)
Ni (0.308, 0.692, 0.250)
Ni (0.692, 0.308, 0.750)
Te (0.020, 0.628, 0.800)
Te (0.228, 0.349, 0.853)
Te (0.349, 0.228, 0.353)
Te (0.372, 0.980, 0.700)
Te (0.628, 0.020, 0.300)
Te (0.651, 0.772, 0.647)
Te (0.772, 0.651, 0.147)
Te (0.980, 0.372, 0.200)

Calculated values
Raw formation energy   -0.44 eV/f.u.
Density of states at the Fermi level   8.99 states/eV/cell
V   283.0 Å³ per cell